No. 1
Ac5Zr2S12 | PBE | optimized geometry

Unit cell a=16.3495 b=7.4359 c=9.4408 alpha=90.00 beta=107.17 gamma=90.00
Closest atoms and distances in Å follow each position.
Space group C2/m (No. 12)
Unique sites:
Ac (0.0000, 0.0000, 0.0000)  6 S 2.97-3.01
Ac (0.1879, 0.5000, 0.3357)  7 S 3.01-3.06
Ac (0.1975, 0.5000, 0.8541)  7 S 3.01-3.10
Zr (0.0000, 0.2489, 0.5000)  6 S 2.54-2.61
S (0.0010, 0.0000, 0.3156)  2 Zr 2.54
S (0.0024, 0.5000, 0.6948)  2 Zr 2.61
S (0.1512, 0.2499, 0.0722)  4 Ac 3.01-3.03
S (0.1637, 0.2573, 0.5823)  1 Zr 2.56

Properties
formation energy (no corrections)	-1.90	eV per atom
crystal system	monoclinic
uncorrected energy	-6.49	eV per atom
total moment	0.000	μB per cell

***

No. 2
ScTe2As | PBE | optimized geometry

Unit cell a=4.2508 b=4.2508 c=10.8377 alpha=90.00 beta=90.00 gamma=90.00
Closest atoms and distances in Å follow each position.
Space group I-4m2 (No. 119)
Unique sites:
Sc (0.0000, 0.0000, 0.0000)  4 Te 3.01
Te (0.0000, 0.0000, 0.5000)  4 Sc 3.01
Te (0.0000, 0.5000, 0.7500)  4 As 3.01
As (0.0000, 0.5000, 0.2500)  4 Te 3.01

Properties
formation energy (no corrections)	-0.31	eV per atom
crystal system	tetragonal
uncorrected energy	-4.63	eV per atom
total moment	0.000	μB per cell

***

No. 3
Be15V2Ni2 | PBE | optimized geometry

Unit cell a=7.3293 b=7.3293 c=10.6826 alpha=90.00 beta=90.00 gamma=120.00
Closest atoms and distances in Å follow each position.
Space group R-3m (No. 166, hexagonal axes)
Unique sites:
Be (0.0000, 0.2955, 0.0000)  8 Be 2.10-2.23
Be (0.0000, 0.5000, 0.5000)  8 Be 2.10-2.14, 2 Ni 2.20
Be (0.0078, 0.5039, 0.1545)  8 Be 2.08-2.23, 1 Ni 2.29
V (0.0000, 0.0000, 0.3473)  1 Ni 2.55, 15 Be 2.55-2.82
Ni (0.0000, 0.0000, 0.1089)  12 Be 2.20-2.46, 1 Ni 2.33

Properties
crystal system	trigonal
uncorrected energy	-4.70	eV per atom
energy of formation from the pure elements	-0.188	eV per atom
total moment	0.009	μB per cell

***

No. 4
PuTaCo | PBE | optimized geometry

Unit cell a=5.3438 b=8.7926 c=17.7152 alpha=90.00 beta=90.00 gamma=90.00
Closest atoms and distances in Å follow each position.
Space group Fddd (No. 70, origin choice 2)
Unique sites:
Pu (0.1250, 0.1250, 0.0447)  4 Co 2.71-2.77, 3 Pu 2.84-3.02
Ta (0.1250, 0.2965, 0.6250)  4 Co 2.64-2.72
Co (0.1250, 0.1250, 0.5029)  2 Co 2.57, 4 Ta 2.64-2.72, 4 Pu 2.71-2.77

Properties
crystal system	orthorhombic
uncorrected energy	-11.09	eV per atom
energy of formation from the pure elements	0.006	eV per atom
total moment	71.380	μB per cell

***

No. 5
CoIrOs2 | PBE | optimized geometry

Unit cell a=5.3128 b=7.6366 c=2.6772 alpha=90.00 beta=90.00 gamma=90.00
Closest atoms and distances in Å follow each position.
Space group Cmmm (No. 65)
Unique sites:
Co (0.0000, 0.0000, 0.0000)  2 Ir 2.66, 2 Co 2.68, 8 Os 2.68
Ir (0.0000, 0.5000, 0.0000)  2 Co 2.66, 2 Ir 2.68, 8 Os 2.68
Os (0.2500, 0.2500, 0.5000)  4 Os 2.66-2.68, 4 Co 2.68, 4 Ir 2.68

Properties
crystal system	orthorhombic
uncorrected energy	-9.45	eV per atom
energy of formation from the pure elements	0.158	eV per atom
total moment	0.750	μB per cell

***

No. 6
Zn2InSe | PBE | optimized geometry

Unit cell a=3.6768 b=3.6982 c=12.8263 alpha=90.00 beta=90.00 gamma=90.00
Closest atoms and distances in Å follow each position.
Space group Imm2 (No. 44)
Unique sites:
Zn (0.0000, 0.0000, 0.0000)  4 Se 2.74, 2 In 2.91
Zn (0.0000, 0.5000, 0.2851)  2 Se 2.67, 4 In 2.96
In (0.0000, 0.5000, 0.6759)  6 Zn 2.91-2.96
Se (0.0000, 0.0000, 0.4356)  6 Zn 2.67-2.74

Properties
formation energy (no corrections)	-0.03	eV per atom
crystal system	orthorhombic
uncorrected energy	-2.22	eV per atom
total moment	0.000	μB per cell

***

No. 7
YTl2Pt | PBE | optimized geometry

Unit cell a=3.6068 b=3.6068 c=7.0913 alpha=90.00 beta=90.00 gamma=90.00
Closest atoms and distances in Å follow each position.
Space group P4/mmm (No. 123)
Unique sites:
Y (0.0000, 0.0000, 0.0000)  8 Tl 3.25, 2 Pt 3.55, 4 Y 3.61
Tl (0.5000, 0.5000, 0.2831)  4 Pt 2.98, 1 Tl 3.08, 4 Y 3.25
Pt (0.0000, 0.0000, 0.5000)  8 Tl 2.98

Properties
crystal system	tetragonal
uncorrected energy	-4.52	eV per atom
energy of formation from the pure elements	-0.215	eV per atom
total moment	0.094	μB per cell

***

No. 8
Ti4F | PBE | optimized geometry

Unit cell a=4.2332 b=4.2332 c=4.2332 alpha=90.00 beta=90.00 gamma=90.00
Closest atoms and distances in Å follow each position.
Space group Pm-3m (No. 221)
Unique sites:
Ti (0.0000, 0.0000, 0.0000)  12 Ti 2.99
Ti (0.0000, 0.5000, 0.5000)  2 F 2.12
F (0.5000, 0.5000, 0.5000)  6 Ti 2.12

Properties
formation energy (no corrections)	-0.58	eV per atom
crystal system	cubic
uncorrected energy	-7.27	eV per atom
total moment	0.002	μB per cell